Record 1
Compound: ZnPb3Br2Cl6
Source: Alexandria via LeMat-Bulk
Functional: GGA-PBE
Structure: relaxed

Unit cell a=14.3503 b=8.1691 c=6.4509 alpha=90.00 beta=92.97 gamma=90.00
Space group C2/m (No. 12)
Unique sites:
Zn1 0.0000 0.0000 0.0000 x2
Pb1 0.0000 0.5000 0.5000 x2
Pb2 0.2500 0.2500 0.0000 x4
Br1 0.1890 0.5000 0.3127 x4
Cl1 0.0689 0.2325 0.7761 x8
Cl2 0.1428 0.0000 0.2122 x4

Results
- crystal system = monoclinic

Record 2
Compound: PdBr2Cl6
Source: Alexandria via LeMat-Bulk
Functional: GGA-PBE
Structure: relaxed

Unit cell a=3.8414 b=9.0284 c=9.0883 alpha=69.78 beta=89.11 gamma=89.26
Space group P-1 (No. 2)
Unique sites:
Pd1 0.0000 0.0000 0.0000 x1
Br1 0.4924 0.0913 0.1331 x2
Cl1 0.0007 0.2501 0.8030 x2
Cl2 0.0122 0.7456 0.4831 x2
Cl3 0.0224 0.7080 0.7217 x2

Results
- crystal system = triclinic

Record 3
Compound: PdBr4Cl
Source: Alexandria via LeMat-Bulk
Functional: GGA-PBE
Structure: relaxed

Unit cell a=8.0576 b=17.0002 c=6.6058 alpha=90.00 beta=105.28 gamma=90.00
Space group C2/c (No. 15)
Unique sites:
Pd1 0.0000 0.0570 0.2500 x4
Br1 0.1816 0.0524 0.6201 x8
Br2 0.1866 0.1679 0.1684 x8
Cl1 0.0000 0.3447 0.7500 x4

Results
- ΔE to the lowest computed polymorph (meV/atom) = 0
- crystal system = monoclinic

Record 4
Compound: PdBrCl3
Source: Alexandria via LeMat-Bulk
Functional: GGA-PBE
Structure: relaxed

Unit cell a=6.4172 b=6.4192 c=8.2574 alpha=80.05 beta=70.10 gamma=76.24
Space group P1 (No. 1)
Unique sites:
Pd1 0.0000 0.0000 0.0000 x1
Pd2 0.1280 0.4877 0.7717 x1
Br1 0.0894 0.1282 0.2366 x1
Br2 0.7489 0.3529 0.4196 x1
Cl1 0.2182 0.6792 0.0705 x1
Cl2 0.3156 0.1305 0.7787 x1
Cl3 0.4491 0.6147 0.5987 x1
Cl4 0.6748 0.9104 0.1978 x1
Cl5 0.8004 0.3503 0.9268 x1
Cl6 0.9313 0.8426 0.7802 x1

Results
- ΔE to the lowest computed polymorph (meV/atom) = 0
- crystal system = triclinic

Record 5
Compound: PdBr2Cl4
Source: Alexandria via LeMat-Bulk
Functional: GGA-PBE
Structure: relaxed

Unit cell a=5.2152 b=10.0007 c=10.8806 alpha=66.79 beta=76.24 gamma=90.00
Space group P1 (No. 1)
Unique sites:
Pd1 0.0000 0.0000 0.0000 x1
Pd2 0.4629 0.6389 0.0745 x1
Br1 0.2142 0.8108 0.1577 x1
Br2 0.4069 0.3194 0.5373 x1
Br3 0.8337 0.8280 0.9168 x1
Br4 0.9066 0.8194 0.5372 x1
Cl1 0.1146 0.4624 0.1945 x1
Cl2 0.2200 0.1669 0.0430 x1
Cl3 0.3813 0.5309 0.5889 x1
Cl4 0.4325 0.1080 0.4858 x1
Cl5 0.7254 0.4719 0.0314 x1
Cl6 0.7710 0.1767 0.8799 x1
Cl7 0.8809 0.5633 0.5899 x1
Cl8 0.9331 0.0754 0.4846 x1

Results
- crystal system = triclinic

Record 6
Compound: Pd3BrCl
Source: Alexandria via LeMat-Bulk
Functional: GGA-PBE
Structure: relaxed

Unit cell a=4.8288 b=4.8288 c=4.8288 alpha=90.00 beta=90.00 gamma=90.00
Space group Pm-3m (No. 221)
Unique sites:
Pd1 0.0000 0.0000 0.5000 x3
Br1 0.0000 0.0000 0.0000 x1
Cl1 0.5000 0.5000 0.5000 x1

Results
- ΔE to the lowest computed polymorph (meV/atom) = 115
- crystal system = cubic

Record 7
Compound: PdBr4Cl
Source: Alexandria via LeMat-Bulk
Functional: GGA-PBE
Structure: relaxed

Unit cell a=23.9027 b=7.7136 c=4.9969 alpha=90.00 beta=98.30 gamma=90.00
Space group C2/m (No. 12)
Unique sites:
Pd1 0.0528 0.0000 0.2776 x4
Br1 0.0000 0.2194 0.5000 x4
Br2 0.1052 0.2205 0.0793 x8
Br3 0.2195 0.0000 0.2189 x4
Cl1 0.1904 0.5000 0.6162 x4

Results
- ΔE to the lowest computed polymorph (meV/atom) = 54
- crystal system = monoclinic

Record 8
Compound: PdBr2Cl2
Source: Alexandria via LeMat-Bulk
Functional: GGA-PBE
Structure: relaxed

Unit cell a=8.7210 b=11.8559 c=6.9705 alpha=90.00 beta=90.00 gamma=90.00
Space group Ibam (No. 72)
Unique sites:
Pd1 0.0000 0.0000 0.2500 x4
Br1 0.1144 0.4501 0.0000 x8
Cl1 0.0047 0.1322 0.5000 x8

Results
- ΔE to the lowest computed polymorph (meV/atom) = 0
- crystal system = orthorhombic

| no. | uncorrected formation energy (eV/f.u.) | E (eV per atom) |
| --- | --- | --- |
| 1 | -12.37 | -3.266 |
| 2 | -1.06 | -2.297 |
| 3 | -0.71 | -2.408 |
| 4 | -1.42 | -2.765 |
| 5 | -0.30 | -2.319 |
| 6 | 2.62 | -3.296 |
| 7 | -0.39 | -2.354 |
| 8 | -0.98 | -2.641 |